Material: LaZr2Ir
Method: DFT, GGA-PBE
State: optimized geometry

Cell lengths 8.162, 8.162, 6.144 Å; angles 90.00, 90.00, 90.00 degrees
Fractional coordinates of all 16 atoms:
La (0.000, 0.000, 0.000)
La (0.000, 0.500, 0.250)
La (0.500, 0.000, 0.750)
La (0.500, 0.500, 0.500)
Zr (0.184, 0.250, 0.625)
Zr (0.250, 0.684, 0.875)
Zr (0.250, 0.816, 0.375)
Zr (0.316, 0.250, 0.125)
Zr (0.684, 0.750, 0.125)
Zr (0.750, 0.184, 0.375)
Zr (0.750, 0.316, 0.875)
Zr (0.816, 0.750, 0.625)
Ir (0.000, 0.000, 0.500)
Ir (0.000, 0.500, 0.750)
Ir (0.500, 0.000, 0.250)
Ir (0.500, 0.500, 0.000)

ΔH_f (0 K): -0.152 eV/atom
VASP energy: -7.8734 eV/atom